AcLuAl | PBE-GGA | relaxed

Results
Density   6.54 Mg/m³
Excess energy over the best structure of this formula in the dataset   1.81 eV/f.u.

Unit cell a=7.583 b=7.583 c=7.583 alpha=90.00 beta=90.00 gamma=90.00
Space group F-43m (No. 216)
Asymmetric unit:
Ac: 0.000 0.000 0.000 [4 per cell]
Lu: 0.250 0.250 0.250 [4 per cell]
Al: 0.250 0.250 0.750 [4 per cell]

=====

Tl2AgPdCl6 | PBE-GGA | relaxed

Results
Uncorrected energy   -3.069 eV/atom
Density   5.42 Mg/m³

Unit cell a=7.089 b=7.089 c=10.193 alpha=90.00 beta=90.00 gamma=90.00
Space group I4/m (No. 87)
Asymmetric unit:
Tl: 0.000 0.500 0.250 [4 per cell]
Ag: 0.000 0.000 0.000 [2 per cell]
Pd: 0.000 0.000 0.500 [2 per cell]
Cl: 0.000 0.000 0.260 [4 per cell]
Cl: 0.208 0.726 0.500 [8 per cell]

=====

AcAsAu | PBE-GGA | relaxed

Results
Density   8.59 Mg/m³
Excess energy over the best structure of this formula in the dataset   0.50 eV/f.u.

Unit cell a=7.280 b=7.280 c=7.280 alpha=90.00 beta=90.00 gamma=90.00
Space group F-43m (No. 216)
Asymmetric unit:
Ac: 0.000 0.000 0.000 [4 per cell]
As: 0.250 0.250 0.750 [4 per cell]
Au: 0.250 0.250 0.250 [4 per cell]

=====

Rb2Nd4Cu4Te9 | PBE-GGA | relaxed

Results
Uncorrected energy   -4.362 eV/atom
Density   6.01 Mg/m³

Unit cell a=15.603 b=4.458 c=18.019 alpha=90.00 beta=108.44 gamma=90.00
Space group C2/m (No. 12)
Asymmetric unit:
Rb: 0.031 0.000 0.271 [4 per cell]
Nd: 0.156 0.500 0.556 [4 per cell]
Nd: 0.229 0.000 0.100 [4 per cell]
Cu: 0.079 0.500 0.977 [4 per cell]
Cu: 0.243 0.000 0.732 [4 per cell]
Te: 0.000 0.000 0.500 [2 per cell]
Te: 0.101 0.500 0.129 [4 per cell]
Te: 0.129 0.000 0.921 [4 per cell]
Te: 0.150 0.500 0.726 [4 per cell]
Te: 0.195 0.500 0.392 [4 per cell]

=====

BeCoBiW | PBE-GGA | relaxed

Results
Density   12.34 Mg/m³
Excess energy over the best structure of this formula in the dataset   0.15 eV/f.u.

Unit cell a=6.283 b=6.283 c=6.283 alpha=90.00 beta=90.00 gamma=90.00
Space group F-43m (No. 216)
Asymmetric unit:
Be: 0.000 0.000 0.000 [4 per cell]
Co: 0.250 0.250 0.750 [4 per cell]
Bi: 0.000 0.000 0.500 [4 per cell]
W: 0.250 0.250 0.250 [4 per cell]

=====

NbZnFeHg | PBE-GGA | relaxed

Results
Energy relative to the elements   30 kJ/mol of atoms
Density   10.47 Mg/m³
Excess energy over the best structure of this formula in the dataset   0.00 eV/f.u.

Unit cell a=6.408 b=6.408 c=6.408 alpha=90.00 beta=90.00 gamma=90.00
Space group F-43m (No. 216)
Asymmetric unit:
Nb: 0.000 0.000 0.000 [4 per cell]
Zn: 0.000 0.000 0.500 [4 per cell]
Fe: 0.250 0.250 0.750 [4 per cell]
Hg: 0.250 0.250 0.250 [4 per cell]